(1)
A geometry-optimized IrPb2O structure. Source: Alexandria via LeMat-Bulk, functional PBE-GGA.

Results
* crystal system: tetragonal

Cell: 5.980 5.980 10.946 Å, 90.00 90.00 90.00°
Space group I-42d (No. 122)
Symmetry-distinct sites (fractional):
Ir: 0.000 0.000 0.000
Pb: 0.215 0.250 0.625
O: 0.000 0.000 0.500



(2)
A geometry-optimized IrPbO structure. Source: Alexandria via LeMat-Bulk, functional PBE-GGA.

Results
* crystal system: orthorhombic

Cell: 4.295 11.063 20.223 Å, 90.00 90.00 90.00°
Space group Fddd (No. 70, origin choice 2)
Symmetry-distinct sites (fractional):
Ir: 0.125 0.125 0.044
Pb: 0.125 0.125 0.460
O: 0.125 0.014 0.125



Values of raw formation energy, in order: 1.07; 3.03, all in kcal/mol of atoms.
Values of calculated total energy, in order: -5.263; -5.711, all in eV per atom.